# GGA-PBE PmDySbS, relaxed
data_PmDySbS
_chemical_formula_sum 'Pm3 Dy3 Sb3 S3'
_cell_length_a 4.1050
_cell_length_b 4.1050
_cell_length_c 22.2467
_cell_angle_alpha 90.00
_cell_angle_beta 90.00
_cell_angle_gamma 120.00
_space_group_name_H-M_alt 'R 3 m'
_space_group_IT_number 160
_space_group_name_Hall 'R 3 -2"'
loop_
_atom_site_label
_atom_site_fract_x
_atom_site_fract_y
_atom_site_fract_z
Pm1 0.0000 0.0000 0.0000
Dy1 0.0000 0.0000 0.1614
Sb1 0.0000 0.0000 0.5776
S1 0.0000 0.0000 0.7525
# Raw formation energy: -136 kJ per mole of atoms

***

# GGA-PBE LiZr3Os, relaxed
data_LiZr3Os
_chemical_formula_sum 'Li1 Zr3 Os1'
_cell_length_a 5.111
_cell_length_b 5.111
_cell_length_c 5.111
_cell_angle_alpha 90.00
_cell_angle_beta 90.00
_cell_angle_gamma 90.00
_space_group_name_H-M_alt 'P m -3 m'
_space_group_IT_number 221
_space_group_name_Hall '-P 4 2 3'
loop_
_atom_site_label
_atom_site_fract_x
_atom_site_fract_y
_atom_site_fract_z
Li1 0.000 0.000 0.000
Zr1 0.000 0.500 0.500
Os1 0.500 0.500 0.500
# Polymorph energy (0 for the lowest one): 0.000 eV/atom
# Energy of formation: 0.399 eV per atom

***

# GGA-PBE ScSiOs2, relaxed
data_ScSiOs2
_chemical_formula_sum 'Sc3 Si3 Os6'
_cell_length_a 2.9613
_cell_length_b 2.9613
_cell_length_c 24.2407
_cell_angle_alpha 90.00
_cell_angle_beta 90.00
_cell_angle_gamma 120.00
_space_group_name_H-M_alt 'R -3 m'
_space_group_IT_number 166
_space_group_name_Hall '-R 3 2"'
loop_
_atom_site_label
_atom_site_fract_x
_atom_site_fract_y
_atom_site_fract_z
Sc1 0.0000 0.0000 0.0000
Si1 0.0000 0.0000 0.5000
Os1 0.0000 0.0000 0.2414
# Raw formation energy: -5 kJ per mole of atoms

***

# GGA-PBE TaMn2Ni, relaxed
data_TaMn2Ni
_chemical_formula_sum 'Ta2 Mn4 Ni2'
_cell_length_a 3.685
_cell_length_b 3.685
_cell_length_c 7.915
_cell_angle_alpha 90.00
_cell_angle_beta 90.00
_cell_angle_gamma 90.00
_space_group_name_H-M_alt 'I 4/m m m'
_space_group_IT_number 139
_space_group_name_Hall '-I 4 2'
loop_
_atom_site_label
_atom_site_fract_x
_atom_site_fract_y
_atom_site_fract_z
Ta1 0.000 0.000 0.000
Mn1 0.000 0.500 0.250
Ni1 0.000 0.000 0.500
# Polymorph energy (0 for the lowest one): 0.057 eV/atom
# Energy of formation: 0.006 eV per atom

***

# GGA-PBE Nd5ErTh, relaxed
data_Nd5ErTh
_chemical_formula_sum 'Nd10 Er2 Th2'
_cell_length_a 7.073
_cell_length_b 10.433
_cell_length_c 7.091
_cell_angle_alpha 90.00
_cell_angle_beta 108.90
_cell_angle_gamma 90.00
_space_group_name_H-M_alt 'C 1 2/m 1'
_space_group_IT_number 12
loop_
_space_group_symop_operation_xyz
'x,y,z'
'-x,-y,-z'
'-x,y,-z'
'x,-y,z'
'x+1/2,y+1/2,z'
'-x+1/2,-y+1/2,-z'
'-x+1/2,y+1/2,-z'
'x+1/2,-y+1/2,z'
loop_
_atom_site_label
_atom_site_fract_x
_atom_site_fract_y
_atom_site_fract_z
Nd1 0.000 0.000 0.000
Nd2 0.194 0.287 0.726
Er1 0.000 0.500 0.000
Th1 0.000 0.000 0.500
# Energy of formation: 0.219 eV per atom

***

# GGA-PBE YErCd, relaxed
data_YErCd
_chemical_formula_sum 'Y4 Er4 Cd4'
_cell_length_a 3.569
_cell_length_b 3.515
_cell_length_c 27.301
_cell_angle_alpha 90.00
_cell_angle_beta 90.00
_cell_angle_gamma 90.00
_space_group_name_H-M_alt 'A m m 2'
_space_group_IT_number 38
loop_
_space_group_symop_operation_xyz
'x,y,z'
'-x,-y,z'
'-x,y,z'
'x,-y,z'
'x,y+1/2,z+1/2'
'-x,-y+1/2,z+1/2'
'-x,y+1/2,z+1/2'
'x,-y+1/2,z+1/2'
loop_
_atom_site_label
_atom_site_fract_x
_atom_site_fract_y
_atom_site_fract_z
Y1 0.000 0.000 0.000
Y2 0.000 0.000 0.150
Er1 0.000 0.000 0.301
Er2 0.500 0.000 0.890
Cd1 0.500 0.000 0.575
Cd2 0.500 0.000 0.725
# Polymorph energy (0 for the lowest one): 0.081 eV/atom
# Energy of formation: -0.122 eV per atom

***

# GGA-PBE Pr3In, relaxed
data_Pr3In
_chemical_formula_sum 'Pr6 In2'
_cell_length_a 4.945
_cell_length_b 4.945
_cell_length_c 10.358
_cell_angle_alpha 90.00
_cell_angle_beta 90.00
_cell_angle_gamma 90.00
_space_group_name_H-M_alt 'I 4/m m m'
_space_group_IT_number 139
_space_group_name_Hall '-I 4 2'
loop_
_atom_site_label
_atom_site_fract_x
_atom_site_fract_y
_atom_site_fract_z
Pr1 0.000 0.000 0.000
Pr2 0.000 0.500 0.250
In1 0.000 0.000 0.500
# Energy of formation: -0.259 eV per atom

***

# GGA-PBE AlCr3Ni12, relaxed
data_AlCr3Ni12
_chemical_formula_sum 'Al1 Cr3 Ni12'
_cell_length_a 3.547
_cell_length_b 3.547
_cell_length_c 14.236
_cell_angle_alpha 90.00
_cell_angle_beta 90.00
_cell_angle_gamma 90.00
_space_group_name_H-M_alt 'P 4/m m m'
_space_group_IT_number 123
_space_group_name_Hall '-P 4 2'
loop_
_atom_site_label
_atom_site_fract_x
_atom_site_fract_y
_atom_site_fract_z
Al1 0.000 0.000 0.000
Cr1 0.000 0.000 0.250
Cr2 0.000 0.000 0.500
Ni1 0.000 0.500 0.127
Ni2 0.000 0.500 0.375
Ni3 0.500 0.500 0.000
Ni4 0.500 0.500 0.250
Ni5 0.500 0.500 0.500
# Energy of formation: -0.122 eV per atom

***

# GGA-PBE NaPrCdHg, relaxed
data_NaPrCdHg
_chemical_formula_sum 'Na4 Pr4 Cd4 Hg4'
_cell_length_a 7.533
_cell_length_b 7.533
_cell_length_c 7.533
_cell_angle_alpha 90.00
_cell_angle_beta 90.00
_cell_angle_gamma 90.00
_space_group_name_H-M_alt 'F -4 3 m'
_space_group_IT_number 216
_space_group_name_Hall 'F -4 2 3'
loop_
_atom_site_label
_atom_site_fract_x
_atom_site_fract_y
_atom_site_fract_z
Na1 0.000 0.000 0.000
Pr1 0.000 0.000 0.500
Cd1 0.250 0.250 0.750
Hg1 0.250 0.250 0.250
# Energy of formation: -0.289 eV per atom

***

# GGA-PBE Hf2AlMoRu, relaxed
data_Hf2AlMoRu
_chemical_formula_sum 'Hf2 Al1 Mo1 Ru1'
_cell_length_a 4.933
_cell_length_b 4.933
_cell_length_c 4.202
_cell_angle_alpha 90.00
_cell_angle_beta 90.00
_cell_angle_gamma 90.00
_space_group_name_H-M_alt 'P 4/m m m'
_space_group_IT_number 123
_space_group_name_Hall '-P 4 2'
loop_
_atom_site_label
_atom_site_fract_x
_atom_site_fract_y
_atom_site_fract_z
Hf1 0.000 0.500 0.000
Al1 0.000 0.000 0.000
Mo1 0.500 0.500 0.500
Ru1 0.000 0.000 0.500
# Energy of formation: 0.985 eV per atom

***

# GGA-PBE AlCr2Se, relaxed
data_AlCr2Se
_chemical_formula_sum 'Al3 Cr6 Se3'
_cell_length_a 2.9760
_cell_length_b 2.9760
_cell_length_c 22.8929
_cell_angle_alpha 90.00
_cell_angle_beta 90.00
_cell_angle_gamma 120.00
_space_group_name_H-M_alt 'R 3 m'
_space_group_IT_number 160
_space_group_name_Hall 'R 3 -2"'
loop_
_atom_site_label
_atom_site_fract_x
_atom_site_fract_y
_atom_site_fract_z
Al1 0.0000 0.0000 0.0000
Cr1 0.0000 0.0000 0.2481
Cr2 0.0000 0.0000 0.5112
Se1 0.0000 0.0000 0.7646
# Polymorph energy (0 for the lowest one): 0.155 eV/atom
# Raw formation energy: 15 kJ per mole of atoms

***

# GGA-PBE La6Pd3C, relaxed
data_La6Pd3C
_chemical_formula_sum 'La12 Pd6 C2'
_cell_length_a 6.912
_cell_length_b 7.721
_cell_length_c 12.635
_cell_angle_alpha 90.00
_cell_angle_beta 123.13
_cell_angle_gamma 90.00
_space_group_name_H-M_alt 'P 1 21/c 1'
_space_group_IT_number 14
loop_
_space_group_symop_operation_xyz
'x,y,z'
'-x,-y,-z'
'-x,y+1/2,-z+1/2'
'x,-y+1/2,z+1/2'
loop_
_atom_site_label
_atom_site_fract_x
_atom_site_fract_y
_atom_site_fract_z
La1 0.088 0.200 0.435
La2 0.243 0.666 0.433
La3 0.367 0.047 0.233
Pd1 0.191 0.103 0.744
Pd2 0.500 0.000 0.500
C1 0.000 0.000 0.000
# Energy of formation: -0.483 eV per atom

***

# GGA-PBE LiCoAu2, relaxed
data_LiCoAu2
_chemical_formula_sum 'Li4 Co4 Au8'
_cell_length_a 6.276
_cell_length_b 6.276
_cell_length_c 6.276
_cell_angle_alpha 90.00
_cell_angle_beta 90.00
_cell_angle_gamma 90.00
_space_group_name_H-M_alt 'F -4 3 m'
_space_group_IT_number 216
_space_group_name_Hall 'F -4 2 3'
loop_
_atom_site_label
_atom_site_fract_x
_atom_site_fract_y
_atom_site_fract_z
Li1 0.000 0.000 0.000
Co1 0.250 0.250 0.250
Au1 0.000 0.000 0.500
Au2 0.250 0.250 0.750
# Energy of formation: 0.066 eV per atom

***

# GGA-PBE NiHOs3, relaxed
data_NiHOs3
_chemical_formula_sum 'Ni1 H1 Os3'
_cell_length_a 4.451
_cell_length_b 4.451
_cell_length_c 4.451
_cell_angle_alpha 90.00
_cell_angle_beta 90.00
_cell_angle_gamma 90.00
_space_group_name_H-M_alt 'P m -3 m'
_space_group_IT_number 221
_space_group_name_Hall '-P 4 2 3'
loop_
_atom_site_label
_atom_site_fract_x
_atom_site_fract_y
_atom_site_fract_z
Ni1 0.000 0.000 0.000
H1 0.500 0.500 0.500
Os1 0.000 0.000 0.500
# Polymorph energy (0 for the lowest one): 2.324 eV/atom

***

# GGA-PBE La2Zn3CdCu12, relaxed
data_La2Zn3CdCu12
_chemical_formula_sum 'La6 Zn9 Cd3 Cu36'
_cell_length_a 8.3203
_cell_length_b 8.3203
_cell_length_c 17.5203
_cell_angle_alpha 90.00
_cell_angle_beta 90.00
_cell_angle_gamma 120.00
_space_group_name_H-M_alt 'R -3 m'
_space_group_IT_number 166
_space_group_name_Hall '-R 3 2"'
loop_
_atom_site_label
_atom_site_fract_x
_atom_site_fract_y
_atom_site_fract_z
La1 0.0000 0.0000 0.0991
Zn1 0.0000 0.5000 0.0000
Cd1 0.0000 0.0000 0.5000
Cu1 0.0051 0.5025 0.8567
Cu2 0.1103 0.5551 0.4100
# Energy of formation: 0.271 eV per atom

***

# GGA-PBE SnO2F2, relaxed
data_SnO2F2
_chemical_formula_sum 'Sn2 O4 F4'
_cell_length_a 4.592
_cell_length_b 4.592
_cell_length_c 6.563
_cell_angle_alpha 90.00
_cell_angle_beta 90.00
_cell_angle_gamma 90.00
_space_group_name_H-M_alt 'I 4/m m m'
_space_group_IT_number 139
_space_group_name_Hall '-I 4 2'
loop_
_atom_site_label
_atom_site_fract_x
_atom_site_fract_y
_atom_site_fract_z
Sn1 0.000 0.000 0.000
O1 0.000 0.000 0.406
F1 0.000 0.500 0.250
# Polymorph energy (0 for the lowest one): 0.086 eV/atom
# Raw formation energy: -88 kJ per mole of atoms

***

# GGA-PBE LiCr2Os, relaxed
data_LiCr2Os
_chemical_formula_sum 'Li2 Cr4 Os2'
_cell_length_a 4.912
_cell_length_b 8.016
_cell_length_c 2.543
_cell_angle_alpha 90.00
_cell_angle_beta 90.00
_cell_angle_gamma 90.00
_space_group_name_H-M_alt 'C m m m'
_space_group_IT_number 65
_space_group_name_Hall '-C 2 2'
loop_
_atom_site_label
_atom_site_fract_x
_atom_site_fract_y
_atom_site_fract_z
Li1 0.000 0.000 0.000
Cr1 0.250 0.250 0.500
Os1 0.000 0.500 0.000
# Energy of formation: 0.371 eV per atom

***

# GGA-PBE MnV3Si, relaxed
data_MnV3Si
_chemical_formula_sum 'Mn4 V12 Si4'
_cell_length_a 7.117
_cell_length_b 4.739
_cell_length_c 9.141
_cell_angle_alpha 90.00
_cell_angle_beta 122.35
_cell_angle_gamma 90.00
_space_group_name_H-M_alt 'P 1 21/c 1'
_space_group_IT_number 14
loop_
_space_group_symop_operation_xyz
'x,y,z'
'-x,-y,-z'
'-x,y+1/2,-z+1/2'
'x,-y+1/2,z+1/2'
loop_
_atom_site_label
_atom_site_fract_x
_atom_site_fract_y
_atom_site_fract_z
Mn1 0.118 0.137 0.119
V1 0.005 0.595 0.146
V2 0.322 0.112 0.956
V3 0.387 0.620 0.169
Si1 0.329 0.615 0.874
# Polymorph energy (0 for the lowest one): 0.000 eV/atom
# Raw formation energy: -20 kJ per mole of atoms

***

# GGA-PBE BaSnIO2, relaxed
data_BaSnIO2
_chemical_formula_sum 'Ba1 Sn1 I1 O2'
_cell_length_a 4.874
_cell_length_b 4.874
_cell_length_c 6.787
_cell_angle_alpha 90.00
_cell_angle_beta 90.00
_cell_angle_gamma 90.00
_space_group_name_H-M_alt 'P 4/m m m'
_space_group_IT_number 123
_space_group_name_Hall '-P 4 2'
loop_
_atom_site_label
_atom_site_fract_x
_atom_site_fract_y
_atom_site_fract_z
Ba1 0.000 0.000 0.000
Sn1 0.500 0.500 0.500
I1 0.000 0.000 0.500
O1 0.000 0.500 0.000
# Polymorph energy (0 for the lowest one): 1.337 eV/atom
# Raw formation energy: -43 kJ per mole of atoms

***

# GGA-PBE Ba3AlZn2Au6, relaxed
data_Ba3AlZn2Au6
_chemical_formula_sum 'Ba3 Al1 Zn2 Au6'
_cell_length_a 6.7459
_cell_length_b 6.7459
_cell_length_c 8.4971
_cell_angle_alpha 90.00
_cell_angle_beta 90.00
_cell_angle_gamma 120.00
_space_group_name_H-M_alt 'P -3 m 1'
_space_group_IT_number 164
_space_group_name_Hall '-P 3 2"'
loop_
_atom_site_label
_atom_site_fract_x
_atom_site_fract_y
_atom_site_fract_z
Ba1 0.0000 0.0000 0.0000
Ba2 0.3333 0.6667 0.6806
Al1 0.0000 0.0000 0.5000
Zn1 0.3333 0.6667 0.0865
Au1 0.1835 0.3669 0.3247
# Energy of formation: -0.480 eV per atom